[1]
The following is a DFT calculation (PBE) of a relaxed LiHf2Os crystal.

Summary:
- Energy above the most stable polymorph in this dataset: 0.577 eV/atom
- Volume: 21.29 A^3/atom

Cell lengths 4.2527, 4.2527, 10.8750 Å; angles 90.00, 90.00, 120.00 degrees
With the nearest neighbours (Å) after each atom.
Space group P6_3/mmc (No. 194)
Symmetry-distinct sites (fractional):
Li (0.3333, 0.6667, 0.2500)  6 Hf 2.99
Hf (0.3333, 0.6667, 0.5929)  3 Os 2.65
Os (0.0000, 0.0000, 0.0000)  6 Hf 2.65

---

[2]
The following is a DFT calculation (PBE) of a relaxed LiHf2Os crystal.

Summary:
- Energy above the most stable polymorph in this dataset: 0.692 eV/atom
- Volume: 17.90 A^3/atom

Cell lengths 4.2509, 4.2509, 9.1495 Å; angles 90.00, 90.00, 120.00 degrees
With the nearest neighbours (Å) after each atom.
Space group P6_3/mmc (No. 194)
Symmetry-distinct sites (fractional):
Li (0.3333, 0.6667, 0.2500)  3 Os 2.45
Hf (0.3333, 0.6667, 0.5955)  4 Hf 2.83-3.01, 3 Os 2.83, 4 Li 2.83-3.16
Os (0.0000, 0.0000, 0.2500)  3 Li 2.45

---

[3]
The following is a DFT calculation (PBE) of a relaxed LiHf2Os crystal.

Summary:
- Energy above the most stable polymorph in this dataset: 0.640 eV/atom
- Volume: 18.80 A^3/atom

Cell lengths 4.7184, 4.7184, 7.8025 Å; angles 90.00, 90.00, 120.00 degrees
With the nearest neighbours (Å) after each atom.
Space group P6_3/mmc (No. 194)
Symmetry-distinct sites (fractional):
Li (0.0000, 0.0000, 0.0000)  6 Hf 2.81
Hf (0.3333, 0.6667, 0.0871)  1 Hf 2.54, 1 Os 2.63, 3 Li 2.81
Os (0.3333, 0.6667, 0.7500)  2 Hf 2.63

---

[4]
The following is a DFT calculation (PBE) of a relaxed LiHf2Os crystal.

Summary:
- Energy above the most stable polymorph in this dataset: 0.000 eV/atom
- Volume: 17.31 A^3/atom

Cell lengths 6.5190, 6.5190, 6.5190 Å; angles 90.00, 90.00, 90.00 degrees
With the nearest neighbours (Å) after each atom.
Space group Fm-3m (No. 225)
Symmetry-distinct sites (fractional):
Li (0.0000, 0.0000, 0.0000)  8 Hf 2.82
Hf (0.2500, 0.2500, 0.2500)  4 Li 2.82, 4 Os 2.82
Os (0.0000, 0.0000, 0.5000)  8 Hf 2.82

---

[5]
The following is a DFT calculation (PBE) of a relaxed LiHf2Os crystal.

Summary:
- Energy above the most stable polymorph in this dataset: 0.474 eV/atom
- Volume: 16.85 A^3/atom

Cell lengths 6.4607, 6.4607, 6.4607 Å; angles 90.00, 90.00, 90.00 degrees
With the nearest neighbours (Å) after each atom.
Space group F-43m (No. 216)
Symmetry-distinct sites (fractional):
Li (0.0000, 0.0000, 0.0000)  4 Os 2.80, 4 Hf 2.80
Hf (0.0000, 0.0000, 0.5000)  4 Hf 2.80, 4 Os 2.80
Hf (0.2500, 0.2500, 0.7500)  4 Hf 2.80, 4 Li 2.80
Os (0.2500, 0.2500, 0.2500)  4 Hf 2.80, 4 Li 2.80

---

[6]
The following is a DFT calculation (PBE) of a relaxed LiHf2Os crystal.

Summary:
- Energy above the most stable polymorph in this dataset: 0.103 eV/atom
- Volume: 17.22 A^3/atom

Cell lengths 4.5974, 4.5974, 3.2593 Å; angles 90.00, 90.00, 90.00 degrees
With the nearest neighbours (Å) after each atom.
Space group P4/mmm (No. 123)
Symmetry-distinct sites (fractional):
Li (0.0000, 0.0000, 0.0000)  8 Hf 2.82
Hf (0.0000, 0.5000, 0.5000)  4 Li 2.82, 4 Os 2.82
Os (0.5000, 0.5000, 0.0000)  8 Hf 2.82

---

[7]
The following is a DFT calculation (PBE) of a relaxed LiHfSbOs crystal.

Summary:
- Energy above the most stable polymorph in this dataset: 0.541 eV/atom
- Volume: 16.88 A^3/atom

Cell lengths 6.4644, 6.4644, 6.4644 Å; angles 90.00, 90.00, 90.00 degrees
With the nearest neighbours (Å) after each atom.
Space group F-43m (No. 216)
Symmetry-distinct sites (fractional):
Li (0.0000, 0.0000, 0.0000)  4 Os 2.80, 4 Hf 2.80
Hf (0.2500, 0.2500, 0.2500)  4 Li 2.80, 4 Sb 2.80
Sb (0.0000, 0.0000, 0.5000)  4 Hf 2.80, 4 Os 2.80
Os (0.2500, 0.2500, 0.7500)  4 Li 2.80, 4 Sb 2.80

---

[8]
The following is a DFT calculation (PBE) of a relaxed LiHfSbOs crystal.

Summary:
- Energy above the most stable polymorph in this dataset: 0.363 eV/atom
- Volume: 17.41 A^3/atom

Cell lengths 6.5306, 6.5306, 6.5306 Å; angles 90.00, 90.00, 90.00 degrees
With the nearest neighbours (Å) after each atom.
Space group F-43m (No. 216)
Symmetry-distinct sites (fractional):
Li (0.0000, 0.0000, 0.0000)  4 Sb 2.83, 4 Os 2.83
Hf (0.0000, 0.0000, 0.5000)  4 Sb 2.83, 4 Os 2.83
Sb (0.2500, 0.2500, 0.2500)  4 Hf 2.83, 4 Li 2.83
Os (0.2500, 0.2500, 0.7500)  4 Hf 2.83, 4 Li 2.83

---

[9]
The following is a DFT calculation (PBE) of a relaxed LiHfSbOs crystal.

Summary:
- Energy above the most stable polymorph in this dataset: 0.000 eV/atom
- Volume: 16.65 A^3/atom

Cell lengths 6.4343, 6.4343, 6.4343 Å; angles 90.00, 90.00, 90.00 degrees
With the nearest neighbours (Å) after each atom.
Space group F-43m (No. 216)
Symmetry-distinct sites (fractional):
Li (0.0000, 0.0000, 0.0000)  4 Hf 2.79, 4 Sb 2.79
Hf (0.2500, 0.2500, 0.7500)  4 Li 2.79, 4 Os 2.79
Sb (0.2500, 0.2500, 0.2500)  4 Li 2.79, 4 Os 2.79
Os (0.0000, 0.0000, 0.5000)  4 Hf 2.79, 4 Sb 2.79

---

[10]
The following is a DFT calculation (PBE) of a relaxed LiHf3P5 crystal.

Summary:
- Volume: 20.64 A^3/atom
- DFT total energy: -7.061 eV/atom

Cell lengths 6.0441, 6.0441, 5.8704 Å; angles 90.00, 90.00, 120.00 degrees
With the nearest neighbours (Å) after each atom.
Space group P6/mmm (No. 191)
Symmetry-distinct sites (fractional):
Li (0.0000, 0.0000, 0.0000)  2 P 2.94
Hf (0.0000, 0.5000, 0.5000)  4 P 2.56
P (0.0000, 0.0000, 0.5000)  2 Li 2.94, 6 Hf 3.02
P (0.3333, 0.6667, 0.1816)  1 P 2.13

---

[11]
The following is a DFT calculation (PBE) of a relaxed LiHfPa crystal.

Summary:
- Energy above the most stable polymorph in this dataset: 0.000 eV/atom
- Volume: 23.06 A^3/atom

Cell lengths 6.5165, 6.5165, 6.5165 Å; angles 90.00, 90.00, 90.00 degrees
With the nearest neighbours (Å) after each atom.
Space group F-43m (No. 216)
Symmetry-distinct sites (fractional):
Li (0.0000, 0.0000, 0.0000)  4 Hf 2.82
Hf (0.2500, 0.2500, 0.2500)  4 Li 2.82, 4 Pa 2.82
Pa (0.0000, 0.0000, 0.5000)  4 Hf 2.82

---

[12]
The following is a DFT calculation (PBE) of a relaxed LiHfPa crystal.

Summary:
- Energy above the most stable polymorph in this dataset: 0.206 eV/atom
- Volume: 24.94 A^3/atom

Cell lengths 6.6888, 6.6888, 6.6888 Å; angles 90.00, 90.00, 90.00 degrees
With the nearest neighbours (Å) after each atom.
Space group F-43m (No. 216)
Symmetry-distinct sites (fractional):
Li (0.0000, 0.0000, 0.0000)  4 Pa 2.90
Hf (0.0000, 0.0000, 0.5000)  4 Pa 2.90
Pa (0.2500, 0.2500, 0.7500)  4 Hf 2.90, 4 Li 2.90

---

Question: Number 7 is which compound?
Answer: LiHfSbOs